This record from OQMD via LeMat-Bulk describes a geometry-optimized ZnCuGePd structure. The functional is PBE.

Symmetry: No. 216
Polymorph energy (0 for the lowest one): 0.340 eV per formula unit

Unit cell a=4.3803 b=4.3803 c=4.3803 alpha=60.00 beta=60.00 gamma=60.00
Last column: nearest neighbours and their distance in Å.
Positions (direct):
Cu1 0.7500 0.7500 0.7500  4 Pd 2.68, 4 Ge 2.68
Ge1 0.0000 0.0000 0.0000  4 Cu 2.68, 4 Zn 2.68
Pd1 0.5000 0.5000 0.5000  4 Zn 2.68, 4 Cu 2.68
Zn1 0.2500 0.2500 0.2500  4 Pd 2.68, 4 Ge 2.68